Record 1
# GeWC2N, PBEsol geometry, DFT SCAN
# DOS at the Fermi energy, states/eV/cell: 2.53
# Magnetization, μB per formula unit: 0.0
# Uncorrected formation energy, meV/atom: 1530
# Density, g/cm3: 7.4
data_GeWC2N
_chemical_formula_sum 'Ge1 W1 C2 N1'
_space_group_name_H-M_alt 'P 4/m m m'
_space_group_IT_number 123
_space_group_name_Hall '-P 4 2'
_cell_length_a 4.1198
_cell_length_b 4.1198
_cell_length_c 3.8969
_cell_angle_alpha 90.00
_cell_angle_beta 90.00
_cell_angle_gamma 90.00
loop_
_atom_site_label
_atom_site_type_symbol
_atom_site_fract_x
_atom_site_fract_y
_atom_site_fract_z
Ge1 Ge 0.0000 0.0000 0.0000
W1 W 0.5000 0.5000 0.5000
C1 C 0.0000 0.5000 0.5000
N1 N 0.5000 0.5000 0.0000

---

Record 2
# Na2GeC, PBEsol geometry, DFT SCAN
# DOS at the Fermi energy, states/eV/cell: 1.94
# Magnetization, μB per formula unit: 0.0
# Formation energy, eV per atom: 1.224
# Density, g/cm3: 3.3
data_Na2GeC
_chemical_formula_sum 'Na8 Ge4 C4'
_space_group_name_H-M_alt 'F m -3 m'
_space_group_IT_number 225
_space_group_name_Hall '-F 4 2 3'
_cell_length_a 6.4352
_cell_length_b 6.4352
_cell_length_c 6.4352
_cell_angle_alpha 90.00
_cell_angle_beta 90.00
_cell_angle_gamma 90.00
loop_
_atom_site_label
_atom_site_type_symbol
_atom_site_fract_x
_atom_site_fract_y
_atom_site_fract_z
Na1 Na 0.2500 0.2500 0.2500
Ge1 Ge 0.0000 0.0000 0.0000
C1 C 0.0000 0.0000 0.5000

---

Record 3
# Na2GeC, PBEsol geometry, DFT SCAN
# DOS at the Fermi energy, states/eV/cell: 5.76
# Magnetization, μB per formula unit: 0.0
# Formation energy, eV per atom: 1.273
# Density, g/cm3: 3.4
data_Na2GeC
_chemical_formula_sum 'Na8 Ge4 C4'
_space_group_name_H-M_alt 'I -4 2 d'
_space_group_IT_number 122
_space_group_name_Hall 'I -4 2bw'
_cell_length_a 3.6550
_cell_length_b 3.6550
_cell_length_c 19.0930
_cell_angle_alpha 90.00
_cell_angle_beta 90.00
_cell_angle_gamma 90.00
loop_
_atom_site_label
_atom_site_type_symbol
_atom_site_fract_x
_atom_site_fract_y
_atom_site_fract_z
Na1 Na 0.2191 0.2500 0.1250
Ge1 Ge 0.0000 0.0000 0.5000
C1 C 0.0000 0.0000 0.0000

---

Record 4
# Nb2GeC, PBEsol geometry, DFT SCAN
# DOS at the Fermi energy, states/eV/cell: 2.91
# Magnetization, μB per formula unit: 0.0
# Formation energy, eV per atom: -0.553
# Density, g/cm3: 7.9
data_Nb2GeC
_chemical_formula_sum 'Nb4 Ge2 C2'
_space_group_name_H-M_alt 'P 63/m m c'
_space_group_IT_number 194
_space_group_name_Hall '-P 6c 2c'
_cell_length_a 3.2262
_cell_length_b 3.2262
_cell_length_c 12.5891
_cell_angle_alpha 90.00
_cell_angle_beta 90.00
_cell_angle_gamma 120.00
loop_
_atom_site_label
_atom_site_type_symbol
_atom_site_fract_x
_atom_site_fract_y
_atom_site_fract_z
Nb1 Nb 0.3333 0.6667 0.0930
Ge1 Ge 0.3333 0.6667 0.7500
C1 C 0.0000 0.0000 0.0000

---

Record 5
# Nb10Ge6C, PBEsol geometry, DFT SCAN
# DOS at the Fermi energy, states/eV/cell: 8.35
# Magnetization, μB per formula unit: 0.0
# Formation energy, eV per atom: -0.625
# Density, g/cm3: 8.5
data_Nb10Ge6C
_chemical_formula_sum 'Nb10 Ge6 C1'
_space_group_name_H-M_alt 'P -3 1 m'
_space_group_IT_number 162
_space_group_name_Hall '-P 3 2'
_cell_length_a 7.6445
_cell_length_b 7.6445
_cell_length_c 5.2946
_cell_angle_alpha 90.00
_cell_angle_beta 90.00
_cell_angle_gamma 120.00
loop_
_atom_site_label
_atom_site_type_symbol
_atom_site_fract_x
_atom_site_fract_y
_atom_site_fract_z
Nb1 Nb 0.0000 0.2383 0.2571
Nb2 Nb 0.3333 0.6667 0.0000
Nb3 Nb 0.3333 0.6667 0.5000
Ge1 Ge 0.0000 0.3982 0.7561
C1 C 0.0000 0.0000 0.5000

---

Record 6
# Nb2ReGeC, PBEsol geometry, DFT SCAN
# DOS at the Fermi energy, states/eV/cell: 3.19
# Magnetization, μB per formula unit: 0.0
# Formation energy, eV per atom: 0.045
# Density, g/cm3: 10.4
data_Nb2ReGeC
_chemical_formula_sum 'Nb2 Re1 Ge1 C1'
_space_group_name_H-M_alt 'P 4/m m m'
_space_group_IT_number 123
_space_group_name_Hall '-P 4 2'
_cell_length_a 4.2502
_cell_length_b 4.2502
_cell_length_c 4.0531
_cell_angle_alpha 90.00
_cell_angle_beta 90.00
_cell_angle_gamma 90.00
loop_
_atom_site_label
_atom_site_type_symbol
_atom_site_fract_x
_atom_site_fract_y
_atom_site_fract_z
Nb1 Nb 0.0000 0.5000 0.0000
Re1 Re 0.0000 0.0000 0.5000
Ge1 Ge 0.5000 0.5000 0.5000
C1 C 0.0000 0.0000 0.0000

---

Record 7
# Nd5Ge3C, PBEsol geometry, DFT SCAN
# DOS at the Fermi energy, states/eV/cell: 16.72
# Magnetization, μB per formula unit: 0.0
# Formation energy, eV per atom: -0.699
# Density, g/cm3: 7.2
data_Nd5Ge3C
_chemical_formula_sum 'Nd10 Ge6 C2'
_space_group_name_H-M_alt 'P 63/m c m'
_space_group_IT_number 193
_space_group_name_Hall '-P 6c 2'
_cell_length_a 8.7508
_cell_length_b 8.7508
_cell_length_c 6.6333
_cell_angle_alpha 90.00
_cell_angle_beta 90.00
_cell_angle_gamma 120.00
loop_
_atom_site_label
_atom_site_type_symbol
_atom_site_fract_x
_atom_site_fract_y
_atom_site_fract_z
Nd1 Nd 0.0000 0.2231 0.2500
Nd2 Nd 0.3333 0.6667 0.0000
Ge1 Ge 0.0000 0.4104 0.7500
C1 C 0.0000 0.0000 0.0000

---

Record 8
# Ni2GeC, PBEsol geometry, DFT SCAN
# DOS at the Fermi energy, states/eV/cell: 10.48
# Magnetization, μB per formula unit: 0.0
# Formation energy, eV per atom: 0.937
# Density, g/cm3: 8.2
data_Ni2GeC
_chemical_formula_sum 'Ni8 Ge4 C4'
_space_group_name_H-M_alt 'F m -3 m'
_space_group_IT_number 225
_space_group_name_Hall '-F 4 2 3'
_cell_length_a 5.4735
_cell_length_b 5.4735
_cell_length_c 5.4735
_cell_angle_alpha 90.00
_cell_angle_beta 90.00
_cell_angle_gamma 90.00
loop_
_atom_site_label
_atom_site_type_symbol
_atom_site_fract_x
_atom_site_fract_y
_atom_site_fract_z
Ni1 Ni 0.2500 0.2500 0.2500
Ge1 Ge 0.0000 0.0000 0.0000
C1 C 0.0000 0.0000 0.5000

---

Record 9
# GeCO3, PBEsol geometry, DFT SCAN
# DOS at the Fermi energy, states/eV/cell: 0.68
# Magnetization, μB per formula unit: 0.0
# Uncorrected formation energy, meV/atom: 502
# Density, g/cm3: 5.6
data_GeCO3
_chemical_formula_sum 'Ge1 C1 O3'
_space_group_name_H-M_alt 'P m -3 m'
_space_group_IT_number 221
_space_group_name_Hall '-P 4 2 3'
_cell_length_a 3.3937
_cell_length_b 3.3937
_cell_length_c 3.3937
_cell_angle_alpha 90.00
_cell_angle_beta 90.00
_cell_angle_gamma 90.00
loop_
_atom_site_label
_atom_site_type_symbol
_atom_site_fract_x
_atom_site_fract_y
_atom_site_fract_z
Ge1 Ge 0.0000 0.0000 0.0000
C1 C 0.5000 0.5000 0.5000
O1 O 0.0000 0.5000 0.5000

---

Record 10
# GeP2CO, PBEsol geometry, DFT SCAN
# DOS at the Fermi energy, states/eV/cell: 1.83
# Magnetization, μB per formula unit: 0.0
# Uncorrected formation energy, meV/atom: 1036
# Density, g/cm3: 4.7
data_GeP2CO
_chemical_formula_sum 'Ge1 P2 C1 O1'
_space_group_name_H-M_alt 'P 4/m m m'
_space_group_IT_number 123
_space_group_name_Hall '-P 4 2'
_cell_length_a 4.1052
_cell_length_b 4.1052
_cell_length_c 3.3935
_cell_angle_alpha 90.00
_cell_angle_beta 90.00
_cell_angle_gamma 90.00
loop_
_atom_site_label
_atom_site_type_symbol
_atom_site_fract_x
_atom_site_fract_y
_atom_site_fract_z
Ge1 Ge 0.0000 0.0000 0.0000
P1 P 0.0000 0.5000 0.5000
C1 C 0.5000 0.5000 0.5000
O1 O 0.5000 0.5000 0.0000

---

What is the formula in the fifth record?
Nb10Ge6C